Record 1
Here is a crystal of Si3HgSb relaxed with PBEsol from Alexandria. Energies are from SCAN.

Summary:
As for the magnetization: 0.0 μB/cell. The density of states at the Fermi level is 2.19 states/eV/f.u. As for the symmetry: Pm-3m. For the distance to the lowest polymorph of the same formula, the calculation gives 0 meV per atom.

abc: 4.9656 4.9656 4.9656
angles: 90.00 90.00 90.00
With the nearest neighbours (Å) after each atom.
Fractional positions:
Sb1 0.5000 0.5000 0.5000  12 Si 3.51
Si1 0.0000 0.0000 0.5000  2 Hg 2.48
Si2 0.5000 0.0000 0.0000  2 Hg 2.48
Si3 0.0000 0.5000 0.0000  2 Hg 2.48
Hg1 0.0000 0.0000 0.0000  6 Si 2.48



Record 2
Here is a crystal of PrDyMg2 relaxed with PBEsol from Alexandria. Energies are from SCAN.

Summary:
As for the magnetization: 0.0 μB/cell. The density of states at the Fermi level is 3.81 states/eV/f.u. As for the symmetry: Fm-3m. The calculation puts the formation energy at -0.10 eV/atom.

abc: 5.3674 5.3674 5.3674
angles: 60.00 60.00 60.00
With the nearest neighbours (Å) after each atom.
Fractional positions:
Mg1 0.2500 0.2500 0.2500  4 Dy 3.29, 4 Pr 3.29
Mg2 0.7500 0.7500 0.7500  4 Pr 3.29, 4 Dy 3.29
Pr1 0.0000 0.0000 0.0000  8 Mg 3.29
Dy1 0.5000 0.5000 0.5000  8 Mg 3.29



Record 3
Here is a crystal of Mg4FeSi relaxed with PBEsol from Alexandria. Energies are from SCAN.

Summary:
As for the magnetization: 2.8 μB/cell. The density of states at the Fermi level is 3.82 states/eV/f.u. For the final energy, the calculation gives -7.45 eV per atom. As for the symmetry: F-43m.

abc: 5.4582 5.4582 5.4582
angles: 60.00 60.00 60.00
With the nearest neighbours (Å) after each atom.
Fractional positions:
Mg1 0.3747 0.3747 0.8758  6 Mg 2.72-2.73
Mg2 0.8758 0.3747 0.3747  6 Mg 2.72-2.73
Mg3 0.3747 0.3747 0.3747  6 Mg 2.72-2.73
Mg4 0.3747 0.8758 0.3747  6 Mg 2.72-2.73
Fe1 0.0000 0.0000 0.0000  12 Mg 3.20, 4 Si 3.34
Si1 0.7500 0.7500 0.7500  12 Mg 3.20, 4 Fe 3.34



Record 4
Here is a crystal of TlReSb2 relaxed with PBEsol from Alexandria. Energies are from SCAN.

Summary:
As for the magnetization: 0.7 μB/cell. The density of states at the Fermi level is 3.04 states/eV/f.u. As for the symmetry: Cmm2. For the distance to the lowest polymorph of the same formula, the calculation gives 416 meV per atom.

abc: 3.0941 3.0941 10.3682
angles: 90.00 90.00 112.60
With the nearest neighbours (Å) after each atom.
Fractional positions:
Re1 0.5000 0.5000 0.2407  2 Sb 2.63, 2 Tl 2.91
Sb1 0.0000 0.0000 0.0488  2 Re 2.63
Sb2 0.5000 0.5000 0.7430  6 Sb 3.09-3.43, 2 Tl 3.33
Tl1 0.0000 0.0000 0.4675  2 Re 2.91, 4 Tl 3.09



Record 5
Here is a crystal of AsWSe2 relaxed with PBEsol from Alexandria. Energies are from SCAN.

Summary:
As for the magnetization: 0.0 μB/cell. The density of states at the Fermi level is 2.68 states/eV/f.u. For the final energy, the calculation gives -31.67 eV per atom. As for the symmetry: I-4m2.

abc: 4.2386 4.7800 4.2386
angles: 63.68 90.00 116.32
With the nearest neighbours (Å) after each atom.
Fractional positions:
Se1 0.2500 0.5000 0.2500  4 Se 2.82, 4 W 2.82, 4 As 3.00
Se2 0.0000 0.0000 0.0000  4 Se 2.82, 4 As 2.82, 4 W 3.00
W1 0.5000 0.0000 0.5000  4 As 2.82, 8 Se 2.82-3.00
As1 0.7500 0.5000 0.7500  4 W 2.82, 8 Se 2.82-3.00



Record 6
Here is a crystal of Ba2AuCl relaxed with PBEsol from Alexandria. Energies are from SCAN.

Summary:
As for the magnetization: 0.0 μB/cell. The density of states at the Fermi level is 3.82 states/eV/f.u. As for the symmetry: P4/mmm. For the distance to the lowest polymorph of the same formula, the calculation gives 27 meV per atom.

abc: 4.5840 4.5840 6.5729
angles: 90.00 90.00 90.00
With the nearest neighbours (Å) after each atom.
Fractional positions:
Ba1 0.0000 0.0000 0.5000  4 Au 3.24, 2 Cl 3.29
Ba2 0.5000 0.5000 0.0000  4 Cl 3.24, 2 Au 3.29
Cl1 0.0000 0.0000 0.0000  6 Ba 3.24-3.29
Au1 0.5000 0.5000 0.5000  6 Ba 3.24-3.29



Record 7
Here is a crystal of ZnIrN2O relaxed with PBEsol from Alexandria. Energies are from SCAN.

Summary:
As for the magnetization: 0.0 μB/cell. The density of states at the Fermi level is 1.79 states/eV/f.u. For the final energy, the calculation gives -21.14 eV per atom. As for the symmetry: P4/mmm.

abc: 3.7290 3.7290 4.2656
angles: 90.00 90.00 90.00
With the nearest neighbours (Å) after each atom.
Fractional positions:
N1 0.5000 0.0000 0.0000  2 Ir 1.86
N2 0.0000 0.5000 0.0000  2 Ir 1.86
O1 0.0000 0.0000 0.5000  2 Ir 2.13
Zn1 0.5000 0.5000 0.5000  4 O 2.64, 8 N 2.83
Ir1 0.0000 0.0000 0.0000  4 N 1.86



Record 8
Here is a crystal of La2CoHg relaxed with PBEsol from Alexandria. Energies are from SCAN.

Summary:
As for the magnetization: 0.0 μB/cell. The density of states at the Fermi level is 2.88 states/eV/f.u. As for the symmetry: Amm2. The calculation puts the formation energy at -0.24 eV/atom.

abc: 3.9155 4.7086 5.8913
angles: 113.55 90.00 90.00
With the nearest neighbours (Å) after each atom.
Fractional positions:
Hg1 0.5000 0.6813 0.3627  2 Co 2.75
La1 0.0000 0.0737 0.1474  1 Co 2.31
La2 0.5000 0.3822 0.7644  4 Co 3.07, 3 Hg 3.20-3.23
Co1 0.0000 0.8603 0.7206  1 La 2.31